Version i
BaTaSb2 at its PBEsol-relaxed geometry. Source: the Alexandria database, functional SCAN.

As for the density of states at the Fermi level: 2.57 states/eV/f.u.

It has space group Immm (No. 71), with a = 3.623 Å, b = 6.436 Å, c = 10.052 Å, α = 90.00°, β = 90.00° and γ = 90.00°. The inequivalent atoms are Ba at (0.000, 0.000, 0.000), Ta at (0.000, 0.000, 0.500) and Sb at (0.000, 0.500, 0.206).

Version ii
BaTaSb2 at its PBEsol-relaxed geometry. Source: the Alexandria database, functional SCAN.

As for the density of states at the Fermi level: 3.07 states/eV/f.u.

It has space group P4/mmm (No. 123), with a = 5.697 Å, b = 5.697 Å, c = 3.203 Å, α = 90.00°, β = 90.00° and γ = 90.00°. The inequivalent atoms are Ba at (0.000, 0.000, 0.000), Ta at (0.500, 0.500, 0.000) and Sb at (0.000, 0.500, 0.500).

version i has the most favorable energy; the next structure is 27.6 kJ/mol of atoms above.

Version i
BaTlSb at its PBEsol-relaxed geometry. Source: the Alexandria database, functional SCAN.

It has space group P6_3mc (No. 186), with a = 4.8342 Å, b = 4.8342 Å, c = 11.0627 Å, α = 90.00°, β = 90.00° and γ = 120.00°. The inequivalent atoms are Ba at (0.3333, 0.6667, 0.0000), Tl at (0.0000, 0.0000, 0.2045) and Sb at (0.3333, 0.6667, 0.3257).

Version ii
BaTlSb at its PBEsol-relaxed geometry. Source: the Alexandria database, functional SCAN.

It has space group P3m1 (No. 156), with a = 4.8838 Å, b = 4.8838 Å, c = 5.1483 Å, α = 90.00°, β = 90.00° and γ = 120.00°. The inequivalent atoms are Ba at (0.0000, 0.0000, 0.0000), Tl at (0.6667, 0.3333, 0.3758) and Sb at (0.3333, 0.6667, 0.6124).

version ii has the most favorable energy; the next structure is 0.5 kJ/mol of atoms above.

Version i
Ba2TlSb at its PBEsol-relaxed geometry. Source: the Alexandria database, functional SCAN.

As for the density of states at the Fermi level: 1.27 states/eV/f.u.

It has space group P4/mmm (No. 123), with a = 4.379 Å, b = 4.379 Å, c = 7.604 Å, α = 90.00°, β = 90.00° and γ = 90.00°. The inequivalent atoms are Ba at (0.000, 0.000, 0.229), Tl at (0.500, 0.500, 0.500) and Sb at (0.500, 0.500, 0.000).

Version ii
Ba2TlSb at its PBEsol-relaxed geometry. Source: the Alexandria database, functional SCAN.

As for the density of states at the Fermi level: 5.11 states/eV/f.u.

It has space group F-43m (No. 216), with a = 8.249 Å, b = 8.249 Å, c = 8.249 Å, α = 90.00°, β = 90.00° and γ = 90.00°. The inequivalent atoms are Ba at (0.000, 0.000, 0.000), Ba at (0.250, 0.250, 0.250), Tl at (0.000, 0.000, 0.500) and Sb at (0.250, 0.250, 0.750).

version i has the most favorable energy; the next structure is 41.8 kJ/mol of atoms above.

Version i
BaScSe2 at its PBEsol-relaxed geometry. Source: the Alexandria database, functional SCAN.

As for the density of states at the Fermi level: 1.47 states/eV/f.u.

It has space group P2/m (No. 10), with a = 4.102 Å, b = 3.816 Å, c = 7.331 Å, α = 90.00°, β = 90.14° and γ = 90.00°. The inequivalent atoms are Ba at (0.000, 0.000, 0.000), Sc at (0.500, 0.000, 0.500) and Se at (0.498, 0.500, 0.751).

Version ii
BaScSe2 at its PBEsol-relaxed geometry. Source: the Alexandria database, functional SCAN.

As for the density of states at the Fermi level: 1.72 states/eV/f.u.

It has space group R-3m (No. 166, hexagonal axes), with a = 4.0869 Å, b = 4.0869 Å, c = 21.5125 Å, α = 90.00°, β = 90.00° and γ = 120.00°. The inequivalent atoms are Ba at (0.0000, 0.0000, 0.0000), Sc at (0.0000, 0.0000, 0.5000) and Se at (0.0000, 0.0000, 0.2333).

version ii has the most favorable energy; the next structure is 18.2 kJ/mol of atoms above.

Version i
BaSc2Tc at its PBEsol-relaxed geometry. Source: the Alexandria database, functional SCAN.

As for the density of states at the Fermi level: 3.02 states/eV/f.u.

It has space group Pmmm (No. 47), with a = 4.396 Å, b = 4.409 Å, c = 4.673 Å, α = 90.00°, β = 90.00° and γ = 90.00°. The inequivalent atoms are Ba at (0.000, 0.000, 0.000), Sc at (0.000, 0.500, 0.500), Sc at (0.500, 0.000, 0.500) and Tc at (0.500, 0.500, 0.000).

Version ii
BaSc2Tc at its PBEsol-relaxed geometry. Source: the Alexandria database, functional SCAN.

As for the density of states at the Fermi level: 4.64 states/eV/f.u.

It has space group I-4m2 (No. 119), with a = 4.904 Å, b = 4.904 Å, c = 7.496 Å, α = 90.00°, β = 90.00° and γ = 90.00°. The inequivalent atoms are Ba at (0.000, 0.000, 0.000), Sc at (0.000, 0.000, 0.500), Sc at (0.000, 0.500, 0.250) and Tc at (0.000, 0.500, 0.750).

Version iii
BaSc2Tc at its PBEsol-relaxed geometry. Source: the Alexandria database, functional SCAN.

As for the density of states at the Fermi level: 5.45 states/eV/f.u.

It has space group Cmmm (No. 65), with a = 4.666 Å, b = 4.675 Å, c = 9.269 Å, α = 90.00°, β = 90.00° and γ = 90.00°. The inequivalent atoms are Ba at (0.000, 0.000, 0.000), Sc at (0.000, 0.500, 0.341) and Tc at (0.000, 0.000, 0.500).

version iii has the most favorable energy; the next structure is 64.4 kJ/mol of atoms above.

Version i
BaSc2Tl at its PBEsol-relaxed geometry. Source: the Alexandria database, functional SCAN.

As for the density of states at the Fermi level: 4.86 states/eV/f.u.

It has space group I-4m2 (No. 119), with a = 4.761 Å, b = 4.761 Å, c = 9.665 Å, α = 90.00°, β = 90.00° and γ = 90.00°. The inequivalent atoms are Ba at (0.000, 0.000, 0.000), Sc at (0.000, 0.000, 0.500), Sc at (0.000, 0.500, 0.250) and Tl at (0.000, 0.500, 0.750).

Version ii
BaSc2Tl at its PBEsol-relaxed geometry. Source: the Alexandria database, functional SCAN.

As for the density of states at the Fermi level: 4.78 states/eV/f.u.

It has space group F-43m (No. 216), with a = 7.687 Å, b = 7.687 Å, c = 7.687 Å, α = 90.00°, β = 90.00° and γ = 90.00°. The inequivalent atoms are Ba at (0.000, 0.000, 0.000), Sc at (0.000, 0.000, 0.500), Sc at (0.250, 0.250, 0.250) and Tl at (0.250, 0.250, 0.750).

Version iii
BaSc2Tl at its PBEsol-relaxed geometry. Source: the Alexandria database, functional SCAN.

As for the density of states at the Fermi level: 3.68 states/eV/f.u.

It has space group Imm2 (No. 44), with a = 3.706 Å, b = 5.255 Å, c = 11.482 Å, α = 90.00°, β = 90.00° and γ = 90.00°. The inequivalent atoms are Ba at (0.000, 0.000, 0.000), Sc at (0.000, 0.000, 0.548), Sc at (0.000, 0.500, 0.787) and Tl at (0.000, 0.500, 0.247).

version iii has the most favorable energy; the next structure is 2.2 kJ/mol of atoms above.

Version i
BaSc2W at its PBEsol-relaxed geometry. Source: the Alexandria database, functional SCAN.

As for the density of states at the Fermi level: 2.74 states/eV/f.u.

It has space group Pm (No. 6), with a = 3.119 Å, b = 4.916 Å, c = 7.049 Å, α = 90.00°, β = 99.53° and γ = 90.00°. The inequivalent atoms are Ba at (0.000, 0.000, 0.000), Sc at (0.331, 0.000, 0.550), Sc at (0.717, 0.500, 0.371) and W at (0.318, 0.500, 0.701).

Version ii
BaSc2W at its PBEsol-relaxed geometry. Source: the Alexandria database, functional SCAN.

As for the density of states at the Fermi level: 5.80 states/eV/f.u.

It has space group Pmmm (No. 47), with a = 3.282 Å, b = 3.293 Å, c = 9.559 Å, α = 90.00°, β = 90.00° and γ = 90.00°. The inequivalent atoms are Ba at (0.000, 0.000, 0.000), Sc at (0.500, 0.500, 0.331) and W at (0.000, 0.000, 0.500).

version ii has the most favorable energy; the next structure is 24.3 kJ/mol of atoms above.

Version i
BaZrSc at its PBEsol-relaxed geometry. Source: the Alexandria database, functional SCAN.

As for the density of states at the Fermi level: 4.13 states/eV/f.u.

It has space group Imm2 (No. 44), with a = 3.432 Å, b = 4.466 Å, c = 11.551 Å, α = 90.00°, β = 90.00° and γ = 90.00°. The inequivalent atoms are Ba at (0.000, 0.000, 0.000), Zr at (0.000, 0.000, 0.306) and Sc at (0.000, 0.000, 0.694).

Version ii
BaZrSc at its PBEsol-relaxed geometry. Source: the Alexandria database, functional SCAN.

As for the density of states at the Fermi level: 5.03 states/eV/f.u.

It has space group F-43m (No. 216), with a = 7.095 Å, b = 7.095 Å, c = 7.095 Å, α = 90.00°, β = 90.00° and γ = 90.00°. The inequivalent atoms are Ba at (0.000, 0.000, 0.000), Zr at (0.250, 0.250, 0.750) and Sc at (0.250, 0.250, 0.250).

version i has the most favorable energy; the next structure is 87.7 kJ/mol of atoms above.

Version i
BaSiSe2 at its PBEsol-relaxed geometry. Source: the Alexandria database, functional SCAN.

As for the density of states at the Fermi level: 1.16 states/eV/f.u.

It has space group R-3m (No. 166, hexagonal axes), with a = 4.8566 Å, b = 4.8566 Å, c = 24.0393 Å, α = 90.00°, β = 90.00° and γ = 120.00°. The inequivalent atoms are Ba at (0.0000, 0.0000, 0.0000), Si at (0.0000, 0.0000, 0.5000) and Se at (0.0000, 0.0000, 0.4011).

Version ii
BaSiSe2 at its PBEsol-relaxed geometry. Source: the Alexandria database, functional SCAN.

As for the density of states at the Fermi level: 1.04 states/eV/f.u.

It has space group Imm2 (No. 44), with a = 3.743 Å, b = 5.055 Å, c = 10.548 Å, α = 90.00°, β = 90.00° and γ = 90.00°. The inequivalent atoms are Ba at (0.000, 0.000, 0.000), Si at (0.000, 0.500, 0.236), Se at (0.000, 0.000, 0.570) and Se at (0.000, 0.500, 0.779).

version ii has the most favorable energy; the next structure is 13.9 kJ/mol of atoms above.

Version i
BaSr2Se at its PBEsol-relaxed geometry. Source: the Alexandria database, functional SCAN.

As for the density of states at the Fermi level: 4.70 states/eV/f.u.

It has space group F-43m (No. 216), with a = 8.500 Å, b = 8.500 Å, c = 8.500 Å, α = 90.00°, β = 90.00° and γ = 90.00°. The inequivalent atoms are Ba at (0.000, 0.000, 0.000), Sr at (0.000, 0.000, 0.500), Sr at (0.250, 0.250, 0.250) and Se at (0.250, 0.250, 0.750).

Version ii
BaSr2Se at its PBEsol-relaxed geometry. Source: the Alexandria database, functional SCAN.

As for the density of states at the Fermi level: 1.83 states/eV/f.u.

It has space group Cmm2 (No. 35), with a = 5.563 Å, b = 5.590 Å, c = 10.596 Å, α = 90.00°, β = 90.00° and γ = 90.00°. The inequivalent atoms are Ba at (0.000, 0.000, 0.000), Sr at (0.000, 0.000, 0.656), Sr at (0.000, 0.500, 0.340) and Se at (0.000, 0.500, 0.819).

version ii has the most favorable energy; the next structure is 67.8 kJ/mol of atoms above.

Version i
Ba2TeSe at its PBEsol-relaxed geometry. Source: the Alexandria database, functional SCAN.

As for the density of states at the Fermi level: 0.00 states/eV/f.u.

It has space group P4/mmm (No. 123), with a = 4.798 Å, b = 4.798 Å, c = 6.788 Å, α = 90.00°, β = 90.00° and γ = 90.00°. The inequivalent atoms are Ba at (0.000, 0.000, 0.000), Ba at (0.500, 0.500, 0.500), Te at (0.000, 0.000, 0.500) and Se at (0.500, 0.500, 0.000).

Version ii
Ba2TeSe at its PBEsol-relaxed geometry. Source: the Alexandria database, functional SCAN.

As for the density of states at the Fermi level: 0.00 states/eV/f.u.

It has space group R-3m (No. 166, hexagonal axes), with a = 4.7787 Å, b = 4.7787 Å, c = 23.5218 Å, α = 90.00°, β = 90.00° and γ = 120.00°. The inequivalent atoms are Ba at (0.0000, 0.0000, 0.2451), Te at (0.0000, 0.0000, 0.0000) and Se at (0.0000, 0.0000, 0.5000).

version ii has the most favorable energy; the next structure is 2.3 kJ/mol of atoms above.

Version i
Ba3Si at its PBEsol-relaxed geometry. Source: the Alexandria database, functional SCAN.

As for the density of states at the Fermi level: 1.73 states/eV/f.u.

It has space group Pnma (No. 62), with a = 8.438 Å, b = 11.082 Å, c = 7.366 Å, α = 90.00°, β = 90.00° and γ = 90.00°. The inequivalent atoms are Ba at (0.032, 0.250, 0.124), Ba at (0.170, 0.064, 0.686) and Si at (0.105, 0.750, 0.455).

Version ii
Ba3Si at its PBEsol-relaxed geometry. Source: the Alexandria database, functional SCAN.

As for the density of states at the Fermi level: 3.19 states/eV/f.u.

It has space group Immm (No. 71), with a = 4.023 Å, b = 5.685 Å, c = 15.792 Å, α = 90.00°, β = 90.00° and γ = 90.00°. The inequivalent atoms are Ba at (0.000, 0.000, 0.000), Ba at (0.000, 0.500, 0.162) and Si at (0.000, 0.000, 0.500).

version i has the most favorable energy; the next structure is 5.6 kJ/mol of atoms above.